# PBE-GGA AsBr3F, optimized geometry
# Relative energy among the computed polymorphs = 551.1 meV/atom
# ΔE_f (raw) = -0.057 eV/atom
# Total moment = 1.0 Bohr magnetons per cell
# Crystal system = cubic
data_AsBr3F
_chemical_formula_sum 'As1 Br3 F1'
_cell_length_a 5.2281
_cell_length_b 5.2281
_cell_length_c 5.2281
_cell_angle_alpha 90.00
_cell_angle_beta 90.00
_cell_angle_gamma 90.00
_space_group_name_H-M_alt 'P m -3 m'
_space_group_IT_number 221
_space_group_name_Hall '-P 4 2 3'
loop_
_atom_site_label
_atom_site_type_symbol
_atom_site_fract_x
_atom_site_fract_y
_atom_site_fract_z
As1 As 0.0000 0.0000 0.0000
Br1 Br 0.0000 0.0000 0.5000
F1 F 0.5000 0.5000 0.5000

---

# PBE-GGA As2BrF2, optimized geometry
# Relative energy among the computed polymorphs = 127.2 meV/atom
# ΔE_f (raw) = -0.392 eV/atom
# Total moment = 0.0 Bohr magnetons per cell
# Crystal system = tetragonal
data_As2BrF2
_chemical_formula_sum 'As4 Br2 F4'
_cell_length_a 9.7181
_cell_length_b 9.7181
_cell_length_c 2.5386
_cell_angle_alpha 90.00
_cell_angle_beta 90.00
_cell_angle_gamma 90.00
_space_group_name_H-M_alt 'P 4/m b m'
_space_group_IT_number 127
_space_group_name_Hall '-P 4 2ab'
loop_
_atom_site_label
_atom_site_type_symbol
_atom_site_fract_x
_atom_site_fract_y
_atom_site_fract_z
As1 As 0.2050 0.2950 0.0000
Br1 Br 0.0000 0.0000 0.5000
F1 F 0.1728 0.6728 0.5000

---

# PBE-GGA AsBr3F, optimized geometry
# Relative energy among the computed polymorphs = 0.0 meV/atom
# ΔE_f (raw) = -0.608 eV/atom
# Total moment = 0.0 Bohr magnetons per cell
# Crystal system = orthorhombic
data_AsBr3F
_chemical_formula_sum 'As2 Br6 F2'
_cell_length_a 9.9737
_cell_length_b 3.5512
_cell_length_c 8.3200
_cell_angle_alpha 90.00
_cell_angle_beta 90.00
_cell_angle_gamma 90.00
_space_group_name_H-M_alt 'P m m a'
_space_group_IT_number 51
_space_group_name_Hall '-P 2a 2a'
loop_
_atom_site_label
_atom_site_type_symbol
_atom_site_fract_x
_atom_site_fract_y
_atom_site_fract_z
As1 As 0.2500 0.0000 0.2454
Br1 Br 0.0550 0.5000 0.2377
Br2 Br 0.2500 0.0000 0.8998
F1 F 0.2500 0.0000 0.4610

---

The lowest relative energy among the computed polymorphs belongs to which entry? number 3

---

What is the total moment in the third record? 0.0 Bohr magnetons per cell

---

What did the first record say?
# PBE-GGA AsBr3F, optimized geometry
# Relative energy among the computed polymorphs = 551.1 meV/atom
# ΔE_f (raw) = -0.057 eV/atom
# Total moment = 1.0 Bohr magnetons per cell
# Crystal system = cubic
data_AsBr3F
_chemical_formula_sum 'As1 Br3 F1'
_cell_length_a 5.2281
_cell_length_b 5.2281
_cell_length_c 5.2281
_cell_angle_alpha 90.00
_cell_angle_beta 90.00
_cell_angle_gamma 90.00
_space_group_name_H-M_alt 'P m -3 m'
_space_group_IT_number 221
_space_group_name_Hall '-P 4 2 3'
loop_
_atom_site_label
_atom_site_type_symbol
_atom_site_fract_x
_atom_site_fract_y
_atom_site_fract_z
As1 As 0.0000 0.0000 0.0000
Br1 Br 0.0000 0.0000 0.5000
F1 F 0.5000 0.5000 0.5000